(1)
This record from the Alexandria database describes a relaxed structure of PmPrHgI. The functional is PBE.

## Properties
For the theoretical density, the calculation gives 8639 kg/m³. The calculation puts the energy relative to the elements, uncorrected at -0.52 eV per atom. As for the raw total energy: -13.4 eV/f.u.

Cell and atoms, written as POSCAR:
```
PmPrHgI
1.0
-4.3230 -1.7797 2.9051
0.5463 -4.2989 3.3935
-0.1542 0.7585 5.4494
I Hg Pm Pr
1 1 1 1
Direct
0.0000 0.0000 0.0000 I
0.5000 0.5000 0.5000 Hg
0.2500 0.2500 0.2500 Pm
0.7500 0.7500 0.7500 Pr
```

(2)
This record from the Alexandria database describes a relaxed structure of BaTiAsO5. The functional is PBE.

## Properties
For the theoretical density, the calculation gives 4814 kg/m³. The calculation puts the energy relative to the elements, uncorrected at -2.25 eV per atom. As for the raw total energy: -57.3 eV/f.u.

Cell and atoms, written as POSCAR:
```
BaTiAsO5
1.0
5.9821 0.0252 0.0256
-1.7221 5.7289 0.0256
-1.7391 -2.3491 6.8172
O Ti As Ba
10 2 2 2
Direct
0.6206 0.7713 0.9110 O
0.7713 0.6206 0.4110 O
0.9490 0.0510 0.7500 O
0.7098 0.1044 0.3973 O
0.2902 0.8956 0.6027 O
0.1044 0.7098 0.8973 O
0.8956 0.2902 0.1027 O
0.3794 0.2287 0.0890 O
0.0510 0.9490 0.2500 O
0.2287 0.3794 0.5890 O
0.0000 0.0000 0.0000 Ti
0.0000 0.0000 0.5000 Ti
0.6906 0.3094 0.2500 As
0.3094 0.6906 0.7500 As
0.6695 0.3305 0.7500 Ba
0.3305 0.6695 0.2500 Ba
```

(3)
This record from the Alexandria database describes a relaxed structure of AcLa2Dy. The functional is PBE.

## Properties
The energy of formation comes out at 155 meV per atom. For the theoretical density, the calculation gives 7254 kg/m³. As for the raw total energy: -17.9 eV/f.u. Its energy above the lowest structure with this stoichiometry is 135 meV per atom.

Cell and atoms, written as POSCAR:
```
AcLa2Dy
1.0
6.0003 0.0000 0.0000
3.0002 5.1964 0.0000
3.0002 1.7321 4.8993
La Ac Dy
2 1 1
Direct
0.7500 0.7500 0.7500 La
0.2500 0.2500 0.2500 La
0.5000 0.5000 0.5000 Ac
0.0000 0.0000 0.0000 Dy
```